(1)
# LaThPt

Crystalline LaThPt at its relaxed geometry (PBE-GGA, the Alexandria database).

Cell and atoms, written as POSCAR:
```
LaThPt
1.0
0.000 3.571 3.571
3.571 0.000 3.571
3.571 3.571 0.000
La Th Pt
1 1 1
direct
0.000 0.000 0.000
0.500 0.500 0.500
0.250 0.250 0.250
```

Theoretical density ... 10.32 g/cm3
DOS(E_F) ... 5.2 states/eV/f.u.
Formation energy from the elements ... -1.69 eV/f.u.
E above lowest polymorph ... 170 meV/atom

***

(2)
# ScAg3W

Crystalline ScAg3W at its relaxed geometry (PBE-GGA, the Alexandria database).

Cell and atoms, written as POSCAR:
```
ScAg3W
1.0
5.019 0.000 0.000
0.000 5.019 0.000
0.000 0.000 5.019
Sc Ag W
1 3 1
direct
0.000 0.000 0.000
0.000 0.500 0.500
0.500 0.000 0.500
0.500 0.500 0.000
0.500 0.500 0.500
```

Theoretical density ... 7.26 g/cm3
DOS(E_F) ... 7.6 states/eV/f.u.
Formation energy from the elements ... 6.91 eV/f.u.
E above lowest polymorph ... 0 meV/atom

***

(3)
# Hg2AsAu2

Crystalline Hg2AsAu2 at its relaxed geometry (PBE-GGA, the Alexandria database).

Cell and atoms, written as POSCAR:
```
Hg2AsAu2
1.0
7.198 0.000 0.000
0.000 7.198 0.000
0.000 0.000 4.178
Hg As Au
4 2 4
direct
0.159 0.341 0.000
0.341 0.841 0.000
0.659 0.159 0.000
0.841 0.659 0.000
0.000 0.000 0.500
0.500 0.500 0.500
0.145 0.645 0.500
0.355 0.145 0.500
0.645 0.855 0.500
0.855 0.355 0.500
```

Theoretical density ... 13.35 g/cm3
DOS(E_F) ... 3.2 states/eV/f.u.
Formation energy from the elements ... 1.13 eV/f.u.
E above lowest polymorph ... 0 meV/atom

***

(4)
# NdSmY2

Crystalline NdSmY2 at its relaxed geometry (PBE-GGA, the Alexandria database).

Cell and atoms, written as POSCAR:
```
NdSmY2
1.0
0.000 4.069 4.069
4.069 0.000 4.069
4.069 4.069 0.000
Nd Sm Y
1 1 2
direct
0.000 0.000 0.000
0.500 0.500 0.500
0.250 0.250 0.250
0.750 0.750 0.750
```

Theoretical density ... 5.82 g/cm3
DOS(E_F) ... 8.1 states/eV/f.u.
Formation energy from the elements ... 0.44 eV/f.u.
E above lowest polymorph ... 99 meV/atom

***

(5)
# Cd4P2I3

Crystalline Cd4P2I3 at its relaxed geometry (PBE-GGA, the Alexandria database).

Cell and atoms, written as POSCAR:
```
Cd4P2I3
1.0
12.763 0.000 0.000
0.000 13.224 0.000
0.000 0.000 12.889
Cd P I
32 16 24
direct
0.042 0.214 0.066
0.042 0.286 0.566
0.087 0.062 0.792
0.087 0.438 0.292
0.094 0.516 0.930
0.094 0.984 0.430
0.203 0.587 0.576
0.203 0.913 0.076
0.297 0.087 0.576
0.297 0.413 0.076
0.406 0.016 0.930
0.406 0.484 0.430
0.413 0.562 0.792
0.413 0.938 0.292
0.458 0.714 0.066
0.458 0.786 0.566
0.542 0.214 0.434
0.542 0.286 0.934
0.587 0.062 0.708
0.587 0.438 0.208
0.594 0.516 0.570
0.594 0.984 0.070
0.703 0.587 0.924
0.703 0.913 0.424
0.797 0.087 0.924
0.797 0.413 0.424
0.906 0.016 0.570
0.906 0.484 0.070
0.913 0.562 0.708
0.913 0.938 0.208
0.958 0.714 0.434
0.958 0.786 0.934
0.052 0.546 0.452
0.052 0.954 0.952
0.095 0.104 0.597
0.095 0.396 0.097
0.405 0.604 0.597
0.405 0.896 0.097
0.448 0.046 0.452
0.448 0.454 0.952
0.552 0.546 0.048
0.552 0.954 0.548
0.595 0.104 0.903
0.595 0.396 0.403
0.905 0.604 0.903
0.905 0.896 0.403
0.948 0.046 0.048
0.948 0.454 0.548
0.063 0.742 0.674
0.063 0.758 0.174
0.183 0.076 0.247
0.183 0.424 0.747
0.247 0.679 0.929
0.247 0.821 0.429
0.253 0.179 0.929
0.253 0.321 0.429
0.317 0.576 0.247
0.317 0.924 0.747
0.437 0.242 0.674
0.437 0.258 0.174
0.563 0.742 0.826
0.563 0.758 0.326
0.683 0.076 0.253
0.683 0.424 0.753
0.747 0.679 0.571
0.747 0.821 0.071
0.753 0.179 0.571
0.753 0.321 0.071
0.817 0.576 0.253
0.817 0.924 0.753
0.937 0.242 0.826
0.937 0.258 0.326
```

Theoretical density ... 5.45 g/cm3
Formation energy without anion corrections ... -2.95 eV/f.u.

***

(6)
# Ni3OsN

Crystalline Ni3OsN at its relaxed geometry (PBE-GGA, the Alexandria database).

Cell and atoms, written as POSCAR:
```
Ni3OsN
1.0
4.509 0.000 0.000
0.000 4.509 0.000
0.000 0.000 4.509
Ni Os N
3 1 1
direct
0.000 0.000 0.500
0.000 0.500 0.000
0.500 0.000 0.000
0.000 0.000 0.000
0.500 0.500 0.500
```

Theoretical density ... 6.89 g/cm3
DOS(E_F) ... 6.1 states/eV/f.u.
Formation energy without anion corrections ... 12.00 eV/f.u.
E above lowest polymorph ... 1949 meV/atom

***

(7)
# Co3Ir2Rh2

Crystalline Co3Ir2Rh2 at its relaxed geometry (PBE-GGA, the Alexandria database).

Cell and atoms, written as POSCAR:
```
Co3Ir2Rh2
1.0
3.583 -2.171 0.000
3.583 2.171 0.000
-3.522 0.000 6.191
Co Ir Rh
3 2 2
direct
0.000 0.000 0.000
0.215 0.215 0.782
0.785 0.785 0.218
0.201 0.201 0.396
0.799 0.799 0.604
0.432 0.432 0.192
0.568 0.568 0.808
```

Theoretical density ... 13.23 g/cm3
DOS(E_F) ... 9.5 states/eV/f.u.
Formation energy from the elements ... 1.62 eV/f.u.

***

(8)
# ZnCd4Hg

Crystalline ZnCd4Hg at its relaxed geometry (PBE-GGA, the Alexandria database).

Cell and atoms, written as POSCAR:
```
ZnCd4Hg
1.0
9.099 -2.870 0.000
9.099 2.870 0.000
-1.459 0.000 5.060
Zn Cd Hg
2 8 2
direct
0.000 0.500 0.000
0.500 0.000 0.500
0.095 0.729 0.163
0.140 0.520 0.581
0.271 0.905 0.337
0.480 0.860 0.919
0.520 0.140 0.081
0.729 0.095 0.663
0.860 0.480 0.419
0.905 0.271 0.837
0.311 0.689 0.750
0.689 0.311 0.250
```

Theoretical density ... 8.99 g/cm3
DOS(E_F) ... 1.9 states/eV/f.u.
Formation energy from the elements ... 0.29 eV/f.u.
E above lowest polymorph ... 1 meV/atom

***

Q: The highest theoretical density belongs to which entry?
A: Hg2AsAu2

***

Repeat the second record exactly.
# ScAg3W

Crystalline ScAg3W at its relaxed geometry (PBE-GGA, the Alexandria database).

Cell and atoms, written as POSCAR:
```
ScAg3W
1.0
5.019 0.000 0.000
0.000 5.019 0.000
0.000 0.000 5.019
Sc Ag W
1 3 1
direct
0.000 0.000 0.000
0.000 0.500 0.500
0.500 0.000 0.500
0.500 0.500 0.000
0.500 0.500 0.500
```

Theoretical density ... 7.26 g/cm3
DOS(E_F) ... 7.6 states/eV/f.u.
Formation energy from the elements ... 6.91 eV/f.u.
E above lowest polymorph ... 0 meV/atom

***

Copy entry 8 word for word.
# ZnCd4Hg

Crystalline ZnCd4Hg at its relaxed geometry (PBE-GGA, the Alexandria database).

Cell and atoms, written as POSCAR:
```
ZnCd4Hg
1.0
9.099 -2.870 0.000
9.099 2.870 0.000
-1.459 0.000 5.060
Zn Cd Hg
2 8 2
direct
0.000 0.500 0.000
0.500 0.000 0.500
0.095 0.729 0.163
0.140 0.520 0.581
0.271 0.905 0.337
0.480 0.860 0.919
0.520 0.140 0.081
0.729 0.095 0.663
0.860 0.480 0.419
0.905 0.271 0.837
0.311 0.689 0.750
0.689 0.311 0.250
```

Theoretical density ... 8.99 g/cm3
DOS(E_F) ... 1.9 states/eV/f.u.
Formation energy from the elements ... 0.29 eV/f.u.
E above lowest polymorph ... 1 meV/atom

***

Q: Number 3 is which compound?
A: Hg2AsAu2